# PBE MnIn3Cu, optimized geometry
data_MnIn3Cu
_chemical_formula_sum 'Mn1 In3 Cu1'
_space_group_name_H-M_alt 'P 1'
_space_group_IT_number 1
_space_group_name_Hall 'P 1'
_cell_length_a 5.023
_cell_length_b 5.023
_cell_length_c 5.023
_cell_angle_alpha 90.00
_cell_angle_beta 90.00
_cell_angle_gamma 90.00
loop_
_atom_site_label
_atom_site_type_symbol
_atom_site_fract_x
_atom_site_fract_y
_atom_site_fract_z
_atom_site_occupancy
Mn1 Mn 0.500 0.500 0.500 1
Cu1 Cu 0.000 0.000 0.000 1
In1 In 0.000 0.500 0.000 1
In2 In 0.000 0.000 0.500 1
In3 In 0.500 0.000 0.000 1
# - electronic total energy (eV per atom) = -3.79
# - space-group type = No. 221
# - energy above the lowest structure with this stoichiometry (eV per atom) = 0.000
# - formation energy (eV per formula unit) = 2.5
# - density of states at the Fermi level (states/eV per cell) = 2.8
# - density (kg/m³) = 6066